## Y2AuCl (PBE-GGA)

Data for Y2AuCl after structural relaxation.

Values from the calculation:
Magnetic moment in μB/atom: 0.2866
Space group: F-43m (216)
Raw formation energy in eV per atom: -0.034
Excess energy over the best structure of this formula in the dataset in eV/atom: 1.033

Lattice parameters (Å, degrees): 5.209 5.209 5.209 60.00 60.00 60.00
Positions (direct):
Y  0.000  0.000  0.000
Y  0.250  0.250  0.250
Au  0.500  0.500  0.500
Cl  0.750  0.750  0.750


## Y2AuCl (PBE-GGA)

Data for Y2AuCl after structural relaxation.

Values from the calculation:
Magnetic moment in μB/atom: 0.0000
Space group: R3m (160)
Raw formation energy in eV per atom: -1.003
Excess energy over the best structure of this formula in the dataset in eV/atom: 0.064

Lattice parameters (Å, degrees): 8.100 8.100 8.100 28.51 28.51 28.51
Positions (direct):
Y  0.000  0.000  0.000
Y  0.187  0.187  0.187
Au  0.594  0.594  0.594
Cl  0.421  0.421  0.421


## Y2AuCl2 (PBE-GGA)

Data for Y2AuCl2 after structural relaxation.

Values from the calculation:
Magnetic moment in μB/atom: 0.1251
Space group: I4/mmm (139)
Raw formation energy in eV per atom: -1.028
Excess energy over the best structure of this formula in the dataset in eV/atom: 0.163

Lattice parameters (Å, degrees): 5.782 5.782 5.782 126.72 126.72 78.72
Positions (direct):
Y  0.250  0.750  0.500
Y  0.750  0.250  0.500
Au  0.000  0.000  0.000
Cl  0.338  0.338  0.000
Cl  0.662  0.662  0.000


Which of these has the highest magnetic moment?
number 1